DFT (PBEsol) results for RbBSb2Te after structural relaxation.

Cell and atoms, written as POSCAR:
```
RbBSb2Te
1.0
-3.217 0.896 -4.834
1.302 -5.415 -1.871
-4.835 -2.137 2.822
Sb Te B Rb
2 1 1 1
direct
0.500 0.000 0.000
0.000 0.500 0.000
0.000 0.000 0.500
0.500 0.500 0.500
0.000 0.000 0.000
```

Calculated values
Total energy   -1.88 eV per atom
Formation energy from raw total energies   2.2551 eV/atom

DFT (PBEsol) results for LaAs2Os after structural relaxation.

Cell and atoms, written as POSCAR:
```
LaAs2Os
1.0
-2.791 1.974 2.096
1.269 -2.101 3.670
2.670 3.508 0.251
La As Os
1 2 1
direct
0.500 0.000 0.000
0.000 0.000 0.500
0.000 0.500 0.000
0.500 0.500 0.500
```

Calculated values
ΔH_f (0 K)   -0.03 eV per atom
ΔE to the lowest computed polymorph   483.9 meV/atom
Total energy   -6.97 eV per atom

DFT (PBEsol) results for Cd2PtAu after structural relaxation.

Cell and atoms, written as POSCAR:
```
Cd2PtAu
1.0
4.051 0.000 0.000
0.000 4.127 0.000
0.000 0.000 4.127
Cd Pt Au
2 1 1
direct
0.000 0.500 0.000
0.000 0.000 0.500
0.500 0.500 0.500
0.500 0.000 0.000
```

Calculated values
ΔH_f (0 K)   -0.23 eV per atom
Total energy   -3.55 eV per atom

DFT (PBEsol) results for LaAlTl2 after structural relaxation.

Cell and atoms, written as POSCAR:
```
LaAlTl2
1.0
3.774 0.000 0.000
0.000 3.774 0.000
0.000 0.000 7.296
La Tl Al
1 2 1
direct
0.500 0.500 0.734
0.000 0.000 0.027
0.500 0.500 0.271
0.000 0.000 0.468
```

Calculated values
ΔH_f (0 K)   -0.16 eV per atom
Total energy   -3.83 eV per atom

DFT (PBEsol) results for Sc3GeSe after structural relaxation.

Cell and atoms, written as POSCAR:
```
Sc3GeSe
1.0
4.983 0.000 0.000
0.000 4.983 0.000
0.000 0.000 4.983
Ge Sc Se
1 3 1
direct
0.000 0.000 0.000
0.000 0.000 0.500
0.000 0.500 0.000
0.500 0.000 0.000
0.500 0.500 0.500
```

Calculated values
Total energy   -5.99 eV per atom
Formation energy from raw total energies   -0.2659 eV/atom

DFT (PBEsol) results for ZnRe2SnCl after structural relaxation.

Cell and atoms, written as POSCAR:
```
ZnRe2SnCl
1.0
4.710 0.000 0.000
0.000 4.710 0.000
0.000 0.000 5.065
Sn Zn Re Cl
1 1 2 1
direct
0.000 0.000 0.500
0.000 0.000 0.000
0.000 0.500 0.000
0.500 0.000 0.000
0.500 0.500 0.500
```

Calculated values
Total energy   -4.81 eV per atom
Formation energy from raw total energies   2.0969 eV/atom

DFT (PBEsol) results for KRb2GaCl6 after structural relaxation.

Cell and atoms, written as POSCAR:
```
KRb2GaCl6
1.0
-2.042 5.441 4.653
-3.385 -1.666 6.418
3.594 0.923 6.453
Rb Cl K Ga
2 6 1 1
direct
0.750 0.750 0.750
0.250 0.250 0.250
0.276 0.724 0.276
0.276 0.276 0.724
0.724 0.276 0.724
0.276 0.724 0.724
0.724 0.724 0.276
0.724 0.276 0.276
0.000 0.000 0.000
0.500 0.500 0.500
```

Calculated values
Total energy   -3.47 eV per atom
Formation energy from raw total energies   -1.6123 eV/atom

DFT (PBEsol) results for Cr2FeCu after structural relaxation.

Cell and atoms, written as POSCAR:
```
Cr2FeCu
1.0
3.987 0.000 0.000
1.994 3.453 0.000
1.994 1.151 3.256
Cr Fe Cu
2 1 1
direct
0.250 0.250 0.250
0.750 0.750 0.750
0.500 0.500 0.500
0.000 0.000 0.000
```

Calculated values
ΔH_f (0 K)   0.44 eV per atom
ΔE to the lowest computed polymorph   238.4 meV/atom
Total energy   -8.01 eV per atom

> What is the formula in the eighth record?

Cr2FeCu